# 1
Entry from Alexandria: an optimized crystal structure of Ba2SrMg12Hg3 (PBE).

Output
DOS(E_F) ... 13.68 states/eV per cell
Uncorrected energy ... -0.09585 Ry/atom
Space-group type ... No. 166

Lattice parameters (Å, degrees): 10.9011 10.9011 10.9011 46.85 46.85 46.85
With the nearest neighbours (Å) after each atom.
Sites, in units of the cell vectors:
Ba1 0.1208 0.1208 0.1208  6 Mg 3.68
Ba2 0.8792 0.8792 0.8792  6 Mg 3.68
Sr1 0.5000 0.5000 0.5000  12 Mg 3.63-3.73
Mg1 0.0060 0.6497 0.6497  1 Hg 3.04, 4 Mg 3.07-3.09
Mg2 0.2710 0.2710 0.6325  2 Hg 2.80, 4 Mg 3.07-3.13
Mg3 0.2710 0.6325 0.2710  2 Hg 2.80, 4 Mg 3.07-3.13
Mg4 0.3503 0.3503 0.9940  1 Hg 3.04, 4 Mg 3.07-3.09
Mg5 0.3503 0.9941 0.3503  1 Hg 3.04, 4 Mg 3.07-3.09
Mg6 0.3675 0.7290 0.7290  2 Hg 2.80, 4 Mg 3.07-3.13
Mg7 0.6325 0.2710 0.2710  2 Hg 2.80, 4 Mg 3.07-3.13
Mg8 0.6497 0.0060 0.6497  1 Hg 3.04, 4 Mg 3.07-3.09
Mg9 0.6497 0.6497 0.0060  1 Hg 3.04, 4 Mg 3.07-3.09
Mg10 0.7290 0.3675 0.7290  2 Hg 2.80, 4 Mg 3.07-3.13
Mg11 0.7290 0.7290 0.3675  2 Hg 2.80, 4 Mg 3.07-3.13
Mg12 0.9941 0.3503 0.3503  1 Hg 3.04, 4 Mg 3.07-3.09
Hg1 0.0000 0.5000 0.5000  6 Mg 2.80-3.04
Hg2 0.5000 0.0000 0.5000  6 Mg 2.80-3.04
Hg3 0.5000 0.5000 0.0000  6 Mg 2.80-3.04


# 2
Entry from Alexandria: an optimized crystal structure of BaSr2MgHg (PBE).

Output
DOS(E_F) ... 4.51 states/eV per cell
Relative energy among the computed polymorphs ... 0.00 eV/f.u.
Space-group type ... No. 123

Lattice parameters (Å, degrees): 6.3409 6.3409 5.5483 90.00 90.00 90.00
With the nearest neighbours (Å) after each atom.
Sites, in units of the cell vectors:
Ba1 0.0000 0.0000 0.0000  8 Sr 4.21, 4 Mg 4.48
Sr1 0.0000 0.5000 0.5000  2 Hg 3.17
Sr2 0.5000 0.0000 0.5000  2 Hg 3.17
Mg1 0.5000 0.5000 0.0000  2 Hg 2.77
Hg1 0.5000 0.5000 0.5000  2 Mg 2.77


Repeat the second record exactly.
Entry from Alexandria: an optimized crystal structure of BaSr2MgHg (PBE).

Output
DOS(E_F) ... 4.51 states/eV per cell
Relative energy among the computed polymorphs ... 0.00 eV/f.u.
Space-group type ... No. 123

Lattice parameters (Å, degrees): 6.3409 6.3409 5.5483 90.00 90.00 90.00
With the nearest neighbours (Å) after each atom.
Sites, in units of the cell vectors:
Ba1 0.0000 0.0000 0.0000  8 Sr 4.21, 4 Mg 4.48
Sr1 0.0000 0.5000 0.5000  2 Hg 3.17
Sr2 0.5000 0.0000 0.5000  2 Hg 3.17
Mg1 0.5000 0.5000 0.0000  2 Hg 2.77
Hg1 0.5000 0.5000 0.5000  2 Mg 2.77